CuRe2PtN: optimized geometry, PBE.

Fermi-level density of states	5.877	states/eV per cell
formation energy from raw total energies	1862	meV per atom
calculated total energy	-6.81	eV per atom
magnetization	0.400	μB per atom
crystal system	tetragonal

a b c (Å): 4.7551 4.7551 3.2781
angles (deg): 90.00 90.00 90.00
Closest atoms and distances in Å follow each position.
Space group P4/mmm (No. 123)
Inequivalent atoms, fractional coordinates:
Cu 0.0000 0.0000 0.0000 x1  2 N 1.64
Re 0.0000 0.5000 0.0000 x2  2 Cu 2.38
Pt 0.5000 0.5000 0.5000 x1  8 Re 2.89
N 0.0000 0.0000 0.5000 x1  2 Cu 1.64